BaTlAs2O6 | PBE | relaxed

Calculated values
Total energy, eV for the cell shown: -114.76
ΔE_f (raw), eV per atom: -1.404
V, Å³/cell: 337
Space group: C2/c

abc: 7.168 7.168 7.477
angles: 101.77 101.77 110.05
Sites, in units of the cell vectors:
Ba (0.203, 0.797, 0.750)
Ba (0.797, 0.203, 0.250)
Tl (0.376, 0.624, 0.250)
Tl (0.624, 0.376, 0.750)
As (0.103, 0.280, 0.802)
As (0.280, 0.103, 0.302)
As (0.720, 0.897, 0.698)
As (0.897, 0.720, 0.198)
O (0.053, 0.634, 0.347)
O (0.186, 0.253, 0.175)
O (0.253, 0.186, 0.675)
O (0.293, 0.537, 0.944)
O (0.366, 0.947, 0.153)
O (0.463, 0.707, 0.556)
O (0.537, 0.293, 0.444)
O (0.634, 0.053, 0.847)
O (0.707, 0.463, 0.056)
O (0.747, 0.814, 0.325)
O (0.814, 0.747, 0.825)
O (0.947, 0.366, 0.653)